Entry 1:
# BiTe2PN | Alexandria via LeMat-Bulk | PBE | optimized geometry
# **Mass density**: 5.69 g/cm3
# **Space group**: P4/mmm
# **E_form (uncorrected)**: 1.46 eV per atom
# **Energy relative to the lowest polymorph listed for this composition**: 1003 meV per atom
# **Magnetic moment**: 0.93 μB per formula unit
# **V**: 29.720 Å³ per atom
data_BiTe2PN
_chemical_formula_sum 'Bi1 Te2 P1 N1'
_cell_length_a 5.906
_cell_length_b 5.906
_cell_length_c 4.260
_cell_angle_alpha 90.00
_cell_angle_beta 90.00
_cell_angle_gamma 90.00
_symmetry_space_group_name_H-M 'P 1'
_symmetry_Int_Tables_number 1
_symmetry_space_group_name_Hall 'P 1'
loop_
_atom_site_label
_atom_site_type_symbol
_atom_site_fract_x
_atom_site_fract_y
_atom_site_fract_z
Bi1 Bi 0.000 0.000 0.000
Te1 Te 0.000 0.500 0.000
Te2 Te 0.500 0.000 0.000
P1 P 0.500 0.500 0.500
N1 N 0.000 0.000 0.500

***

Entry 2:
# BiTe2PN | Alexandria via LeMat-Bulk | PBE | optimized geometry
# **Mass density**: 6.99 g/cm3
# **Space group**: P4/mmm
# **E_form (uncorrected)**: 0.46 eV per atom
# **Energy relative to the lowest polymorph listed for this composition**: 0 meV per atom
# **Magnetic moment**: 0.00 μB per formula unit
# **V**: 24.193 Å³ per atom
data_BiTe2PN
_chemical_formula_sum 'Bi1 Te2 P1 N1'
_cell_length_a 6.094
_cell_length_b 6.094
_cell_length_c 3.257
_cell_angle_alpha 90.00
_cell_angle_beta 90.00
_cell_angle_gamma 90.00
_symmetry_space_group_name_H-M 'P 1'
_symmetry_Int_Tables_number 1
_symmetry_space_group_name_Hall 'P 1'
loop_
_atom_site_label
_atom_site_type_symbol
_atom_site_fract_x
_atom_site_fract_y
_atom_site_fract_z
Bi1 Bi 0.000 0.000 0.000
Te1 Te 0.000 0.500 0.500
Te2 Te 0.500 0.000 0.500
P1 P 0.500 0.500 0.500
N1 N 0.500 0.500 0.000

***

Copy entry 2 word for word.
# BiTe2PN | Alexandria via LeMat-Bulk | PBE | optimized geometry
# **Mass density**: 6.99 g/cm3
# **Space group**: P4/mmm
# **E_form (uncorrected)**: 0.46 eV per atom
# **Energy relative to the lowest polymorph listed for this composition**: 0 meV per atom
# **Magnetic moment**: 0.00 μB per formula unit
# **V**: 24.193 Å³ per atom
data_BiTe2PN
_chemical_formula_sum 'Bi1 Te2 P1 N1'
_cell_length_a 6.094
_cell_length_b 6.094
_cell_length_c 3.257
_cell_angle_alpha 90.00
_cell_angle_beta 90.00
_cell_angle_gamma 90.00
_symmetry_space_group_name_H-M 'P 1'
_symmetry_Int_Tables_number 1
_symmetry_space_group_name_Hall 'P 1'
loop_
_atom_site_label
_atom_site_type_symbol
_atom_site_fract_x
_atom_site_fract_y
_atom_site_fract_z
Bi1 Bi 0.000 0.000 0.000
Te1 Te 0.000 0.500 0.500
Te2 Te 0.500 0.000 0.500
P1 P 0.500 0.500 0.500
N1 N 0.500 0.500 0.000

***

Number 1 is which compound? BiTe2PN

***

Copy entry 1 word for word.
# BiTe2PN | Alexandria via LeMat-Bulk | PBE | optimized geometry
# **Mass density**: 5.69 g/cm3
# **Space group**: P4/mmm
# **E_form (uncorrected)**: 1.46 eV per atom
# **Energy relative to the lowest polymorph listed for this composition**: 1003 meV per atom
# **Magnetic moment**: 0.93 μB per formula unit
# **V**: 29.720 Å³ per atom
data_BiTe2PN
_chemical_formula_sum 'Bi1 Te2 P1 N1'
_cell_length_a 5.906
_cell_length_b 5.906
_cell_length_c 4.260
_cell_angle_alpha 90.00
_cell_angle_beta 90.00
_cell_angle_gamma 90.00
_symmetry_space_group_name_H-M 'P 1'
_symmetry_Int_Tables_number 1
_symmetry_space_group_name_Hall 'P 1'
loop_
_atom_site_label
_atom_site_type_symbol
_atom_site_fract_x
_atom_site_fract_y
_atom_site_fract_z
Bi1 Bi 0.000 0.000 0.000
Te1 Te 0.000 0.500 0.000
Te2 Te 0.500 0.000 0.000
P1 P 0.500 0.500 0.500
N1 N 0.000 0.000 0.500